Material: La2Si2O5
Method: DFT, PBE-GGA
State: relaxed

Unit cell a=3.799 b=3.799 c=7.856 alpha=90.00 beta=90.00 gamma=90.00
Atoms (fractional coordinates):
La1 0.000 0.000 0.000
La2 0.000 0.000 0.500
Si1 0.500 0.500 0.253
Si2 0.500 0.500 0.747
O1 0.500 0.000 0.272
O2 0.500 0.000 0.728
O3 0.000 0.500 0.272
O4 0.000 0.500 0.728
O5 0.500 0.500 0.500

Summary:
E_form (uncorrected) = -2.3189 eV/atom
N(E_F) = 0.3762 states/eV/atom
spin magnetization = 0.0 μB per formula unit

***

Material: TbNd3Sn2C
Method: DFT, PBE-GGA
State: relaxed

Unit cell a=4.878 b=4.987 c=8.976 alpha=106.13 beta=105.77 gamma=90.00
Atoms (fractional coordinates):
Tb1 0.500 0.000 0.000
Nd1 0.000 0.500 0.000
Nd2 0.162 0.162 0.323
Nd3 0.838 0.838 0.677
Sn1 0.638 0.638 0.276
Sn2 0.362 0.362 0.724
C1 0.000 0.000 0.000

Summary:
N(E_F) = 0.1549 states/eV/atom
spin magnetization = 0.0 μB per formula unit
calculated formation energy = -593 meV/atom

***

Material: EuErRhAu
Method: DFT, PBE-GGA
State: relaxed

Unit cell a=5.016 b=5.016 c=5.016 alpha=60.00 beta=60.00 gamma=60.00
Each line ends with the local moment (μB).
Atoms (fractional coordinates):
Eu1 0.500 0.500 0.500  6.75
Rh1 0.250 0.250 0.250  -0.06
Au1 0.750 0.750 0.750  0.02
Er1 0.000 0.000 0.000  0.07

Summary:
N(E_F) = 2.2112 states/eV/atom
spin magnetization = 7.0 μB per formula unit
calculated formation energy = -679 meV/atom

***

Material: Pm6CoRh2Br3
Method: DFT, PBE-GGA
State: relaxed

Unit cell a=7.028 b=7.028 c=8.113 alpha=98.28 beta=98.28 gamma=120.02
Atoms (fractional coordinates):
Pm1 0.935 0.613 0.806
Pm2 0.742 0.742 0.194
Pm3 0.065 0.387 0.194
Pm4 0.613 0.935 0.806
Pm5 0.258 0.258 0.806
Pm6 0.387 0.065 0.194
Co1 0.000 0.000 0.000
Rh1 0.333 0.667 0.000
Rh2 0.667 0.333 0.000
Br1 0.165 0.835 0.500
Br2 0.835 0.165 0.500
Br3 0.500 0.500 0.500

Summary:
E_form (uncorrected) = -0.9670 eV/atom
N(E_F) = 0.2557 states/eV/atom
spin magnetization = 0.0 μB per formula unit

***

Material: AcTh5Ge6
Method: DFT, PBE-GGA
State: relaxed

Unit cell a=7.525 b=7.529 c=7.524 alpha=59.98 beta=80.40 gamma=70.53
Atoms (fractional coordinates):
Ac1 0.000 0.000 0.000
Ge1 0.743 0.086 0.344
Ge2 0.257 0.571 0.344
Ge3 0.255 0.259 0.000
Ge4 0.745 0.741 0.000
Ge5 0.743 0.429 0.656
Ge6 0.257 0.914 0.656
Th1 0.500 0.164 0.672
Th2 0.000 0.332 0.335
Th3 0.500 0.500 0.000
Th4 0.000 0.668 0.665
Th5 0.500 0.836 0.328

Summary:
N(E_F) = 0.5521 states/eV/atom
spin magnetization = 0.0 μB per formula unit
calculated formation energy = -727 meV/atom

***

Material: ThTe2Cl5
Method: DFT, PBE-GGA
State: relaxed

Unit cell a=5.455 b=8.974 c=7.871 alpha=84.72 beta=84.96 gamma=89.73
Atoms (fractional coordinates):
Th1 0.004 0.997 0.989
Te1 0.551 0.516 0.512
Te2 0.134 0.472 0.695
Cl1 0.978 0.809 0.259
Cl2 0.022 0.781 0.772
Cl3 0.977 0.243 0.138
Cl4 0.050 0.177 0.676
Cl5 0.507 0.004 0.959

Summary:
E_form (uncorrected) = -1.3106 eV/atom
N(E_F) = 0.1679 states/eV/atom
spin magnetization = 0.0 μB per formula unit

***

Material: CaHo2Mg
Method: DFT, PBE-GGA
State: relaxed

Unit cell a=3.495 b=3.495 c=12.341 alpha=81.86 beta=81.86 gamma=60.00
Atoms (fractional coordinates):
Mg1 0.500 0.500 0.500
Ca1 0.000 0.000 0.000
Ho1 0.094 0.094 0.718
Ho2 0.906 0.906 0.282

Summary:
N(E_F) = 1.9274 states/eV/atom
spin magnetization = 0.0 μB per formula unit
calculated formation energy = 218 meV/atom

***

Material: Y2ReCl
Method: DFT, PBE-GGA
State: relaxed

Unit cell a=5.625 b=5.625 c=4.858 alpha=90.01 beta=90.01 gamma=35.15
Atoms (fractional coordinates):
Cl1 0.481 0.481 0.625
Re1 0.269 0.269 0.125
Y1 0.010 0.010 0.125
Y2 0.740 0.740 0.625

Summary:
E_form (uncorrected) = -0.3239 eV/atom
N(E_F) = 0.3344 states/eV/atom
spin magnetization = 0.0 μB per formula unit

***

Material: Sr4PmY3Se8
Method: DFT, PBE-GGA
State: relaxed

Unit cell a=8.448 b=8.600 c=8.448 alpha=119.42 beta=120.00 gamma=90.00
Atoms (fractional coordinates):
Sr1 0.500 0.000 0.000
Sr2 0.500 0.000 0.500
Sr3 0.000 0.000 0.000
Sr4 0.000 0.000 0.500
Pm1 0.000 0.500 0.000
Y1 0.500 0.500 0.000
Y2 0.500 0.500 0.500
Y3 0.000 0.500 0.500
Se1 0.247 0.734 0.987
Se2 0.247 0.733 0.494
Se3 0.257 0.269 0.513
Se4 0.740 0.734 0.987
Se5 0.260 0.266 0.013
Se6 0.743 0.731 0.487
Se7 0.753 0.267 0.506
Se8 0.753 0.266 0.013

Summary:
E_form (uncorrected) = -1.8996 eV/atom
N(E_F) = 0.3622 states/eV/atom
spin magnetization = 0.0 μB per formula unit

***

Material: CaBeBr
Method: DFT, PBE-GGA
State: relaxed

Unit cell a=4.918 b=4.918 c=4.918 alpha=60.00 beta=60.00 gamma=60.00
Atoms (fractional coordinates):
Be1 0.500 0.500 0.500
Ca1 0.000 0.000 0.000
Br1 0.250 0.250 0.250

Summary:
E_form (uncorrected) = 0.1739 eV/atom
N(E_F) = 0.7614 states/eV/atom
spin magnetization = 0.0 μB per formula unit

***

Material: NdB2Pt6
Method: DFT, PBE-GGA
State: relaxed

Unit cell a=5.644 b=5.644 c=5.561 alpha=90.00 beta=90.00 gamma=120.00
Atoms (fractional coordinates):
Nd1 0.000 0.000 0.000
B1 0.333 0.667 0.500
B2 0.667 0.333 0.500
Pt1 0.500 0.000 0.247
Pt2 0.500 0.500 0.247
Pt3 0.000 0.500 0.247
Pt4 0.500 0.500 0.753
Pt5 0.000 0.500 0.753
Pt6 0.500 0.000 0.753

Summary:
N(E_F) = 0.3034 states/eV/atom
spin magnetization = 0.0 μB per formula unit
calculated formation energy = -692 meV/atom

***

Material: Rb4Nd3BiO8
Method: DFT, PBE-GGA
State: relaxed

Unit cell a=7.328 b=7.852 c=7.328 alpha=117.83 beta=120.00 gamma=90.00
Atoms (fractional coordinates):
Rb1 0.500 0.000 0.000
Rb2 0.500 0.000 0.500
Rb3 0.000 0.000 0.000
Rb4 0.000 0.000 0.500
Nd1 0.500 0.500 0.000
Nd2 0.500 0.500 0.500
Nd3 0.000 0.500 0.500
Bi1 0.000 0.500 0.000
O1 0.230 0.685 0.955
O2 0.230 0.685 0.460
O3 0.273 0.320 0.547
O4 0.725 0.685 0.955
O5 0.275 0.315 0.045
O6 0.727 0.680 0.453
O7 0.770 0.315 0.540
O8 0.770 0.315 0.045

Summary:
E_form (uncorrected) = -2.2427 eV/atom
N(E_F) = 0.0000 states/eV/atom
spin magnetization = 0.0 μB per formula unit